# 1
# Tb6Sn2Te3Se

A relaxed Tb6Sn2Te3Se crystal (PBE, the Alexandria database).

abc: 19.0163 4.3481 8.7396
angles: 90.00 103.84 90.00
Space group C2/m (No. 12)
Inequivalent atoms, fractional coordinates:
1 Tb 0.0035 0.0000 0.2347 (multiplicity 4)
2 Tb 0.1606 0.5000 0.0879 (multiplicity 4)
3 Tb 0.1684 0.5000 0.5752 (multiplicity 4)
4 Sn 0.1662 0.0000 0.3305 (multiplicity 4)
5 Te 0.0000 0.5000 0.5000 (multiplicity 2)
6 Te 0.1666 0.0000 0.8339 (multiplicity 4)
7 Se 0.0000 0.5000 0.0000 (multiplicity 2)

- E (eV per atom) = -5.30
- V (Å³ per atom) = 29.235
- energy relative to the elements, uncorrected (eV per atom) = -1.239


# 2
# SmTh5Sb6

A relaxed SmTh5Sb6 crystal (PBE, the Alexandria database).

abc: 7.7886 13.5001 7.8017
angles: 90.00 109.49 90.00
Space group C2/m (No. 12)
Inequivalent atoms, fractional coordinates:
1 Sm 0.0000 0.0000 0.0000 (multiplicity 2)
2 Th 0.0000 0.1671 0.5000 (multiplicity 4)
3 Th 0.0000 0.3339 0.0000 (multiplicity 4)
4 Th 0.0000 0.5000 0.5000 (multiplicity 2)
5 Sb 0.2480 0.0000 0.7505 (multiplicity 4)
6 Sb 0.2484 0.1658 0.2484 (multiplicity 8)

- E (eV per atom) = -6.50
- V (Å³ per atom) = 32.222
- energy relative to the elements, uncorrected (eV per atom) = -0.954


# 3
# GeBr2O

A relaxed GeBr2O crystal (PBE, the Alexandria database).

abc: 6.9193 6.9193 7.3126
angles: 90.00 90.00 90.00
Space group I-42d (No. 122)
Inequivalent atoms, fractional coordinates:
1 Ge 0.0000 0.0000 0.0000 (multiplicity 4)
2 Br 0.2389 0.7500 0.6250 (multiplicity 8)
3 O 0.0000 0.0000 0.5000 (multiplicity 4)

- E (eV per atom) = -2.77
- V (Å³ per atom) = 21.881
- energy relative to the elements, uncorrected (eV per atom) = 0.463
- ΔE to the lowest computed polymorph (kJ per mole of atoms) = 132.02


# 4
# BaCd3

A relaxed BaCd3 crystal (PBE, the Alexandria database).

abc: 4.9103 4.9103 21.5754
angles: 90.00 90.00 90.00
Space group I4/mmm (No. 139)
Inequivalent atoms, fractional coordinates:
1 Ba 0.0000 0.0000 0.1295 (multiplicity 4)
2 Cd 0.0000 0.0000 0.4149 (multiplicity 4)
3 Cd 0.0000 0.5000 0.0000 (multiplicity 4)
4 Cd 0.0000 0.5000 0.2500 (multiplicity 4)

- E_form (eV per atom) = -0.179
- E (eV per atom) = -1.35
- V (Å³ per atom) = 32.512


# 5
# Cd6GaHg

A relaxed Cd6GaHg crystal (PBE, the Alexandria database).

abc: 5.3475 5.8683 6.9817
angles: 112.62 110.50 94.52
Space group P-1 (No. 2)
Inequivalent atoms, fractional coordinates:
1 Cd 0.1232 0.0964 0.2475 (multiplicity 2)
2 Cd 0.2495 0.7108 0.5087 (multiplicity 2)
3 Cd 0.3745 0.3430 0.7506 (multiplicity 2)
4 Ga 0.5000 0.0000 0.0000 (multiplicity 1)
5 Hg 0.0000 0.5000 0.0000 (multiplicity 1)

- E_form (eV per atom) = 0.034
- E (eV per atom) = -1.07
- V (Å³ per atom) = 22.947
- ΔE to the lowest computed polymorph (kJ per mole of atoms) = 0.00


# 6
# Ca2PbF6

A relaxed Ca2PbF6 crystal (PBE, the Alexandria database).

abc: 6.0535 6.0535 5.0237
angles: 90.00 90.00 120.00
Space group P-31m (No. 162)
Inequivalent atoms, fractional coordinates:
1 Ca 0.3333 0.6667 0.0000 (multiplicity 2)
2 Pb 0.0000 0.0000 0.5000 (multiplicity 1)
3 F 0.0000 0.3472 0.2268 (multiplicity 6)

- E (eV per atom) = -5.47
- V (Å³ per atom) = 17.715
- energy relative to the elements, uncorrected (eV per atom) = -3.366


# 7
# DyTmRuPt

A relaxed DyTmRuPt crystal (PBE, the Alexandria database).

abc: 6.8383 6.8383 6.8383
angles: 90.00 90.00 90.00
Space group F-43m (No. 216)
Inequivalent atoms, fractional coordinates:
1 Dy 0.0000 0.0000 0.0000 (multiplicity 4)
2 Tm 0.0000 0.0000 0.5000 (multiplicity 4)
3 Ru 0.2500 0.2500 0.7500 (multiplicity 4)
4 Pt 0.2500 0.2500 0.2500 (multiplicity 4)

- E_form (eV per atom) = -0.831
- E (eV per atom) = -6.93
- V (Å³ per atom) = 19.986
- ΔE to the lowest computed polymorph (kJ per mole of atoms) = 4.70


# 8
# Tc2AgRu

A relaxed Tc2AgRu crystal (PBE, the Alexandria database).

abc: 6.2537 6.2537 6.2537
angles: 90.00 90.00 90.00
Space group Fm-3m (No. 225)
Inequivalent atoms, fractional coordinates:
1 Tc 0.2500 0.2500 0.2500 (multiplicity 8)
2 Ag 0.0000 0.0000 0.0000 (multiplicity 4)
3 Ru 0.0000 0.0000 0.5000 (multiplicity 4)

- E_form (eV per atom) = 0.747
- E (eV per atom) = -7.47
- V (Å³ per atom) = 15.286
- ΔE to the lowest computed polymorph (kJ per mole of atoms) = 49.54


# 9
# CaUPaS6

A relaxed CaUPaS6 crystal (PBE, the Alexandria database).

abc: 6.8961 6.8961 12.0141
angles: 90.00 90.00 120.00
Space group P-31c (No. 163)
Inequivalent atoms, fractional coordinates:
1 Ca 0.0000 0.0000 0.0000 (multiplicity 2)
2 U 0.3333 0.6667 0.2500 (multiplicity 2)
3 Pa 0.3333 0.6667 0.7500 (multiplicity 2)
4 S 0.0031 0.3595 0.1318 (multiplicity 12)

- E (eV per atom) = -6.81
- V (Å³ per atom) = 27.489
- energy relative to the elements, uncorrected (eV per atom) = -1.522


# 10
# ThZr2Sn

A relaxed ThZr2Sn crystal (PBE, the Alexandria database).

abc: 7.2946 7.2946 7.2946
angles: 90.00 90.00 90.00
Space group Fm-3m (No. 225)
Inequivalent atoms, fractional coordinates:
1 Th 0.0000 0.0000 0.0000 (multiplicity 4)
2 Zr 0.2500 0.2500 0.2500 (multiplicity 8)
3 Sn 0.0000 0.0000 0.5000 (multiplicity 4)

- E_form (eV per atom) = -0.200
- E (eV per atom) = -7.33
- V (Å³ per atom) = 24.260
- ΔE to the lowest computed polymorph (kJ per mole of atoms) = 16.64


# 11
# GdCdCuPd

A relaxed GdCdCuPd crystal (PBE, the Alexandria database).

abc: 6.7992 6.7992 6.7992
angles: 90.00 90.00 90.00
Space group F-43m (No. 216)
Inequivalent atoms, fractional coordinates:
1 Gd 0.0000 0.0000 0.0000 (multiplicity 4)
2 Cd 0.0000 0.0000 0.5000 (multiplicity 4)
3 Cu 0.2500 0.2500 0.7500 (multiplicity 4)
4 Pd 0.2500 0.2500 0.2500 (multiplicity 4)

- E_form (eV per atom) = -0.424
- E (eV per atom) = -6.50
- V (Å³ per atom) = 19.645


# 12
# ZrTi2NiN

A relaxed ZrTi2NiN crystal (PBE, the Alexandria database).

abc: 4.0593 4.0593 4.4354
angles: 90.00 90.00 90.00
Space group P4/mmm (No. 123)
Inequivalent atoms, fractional coordinates:
1 Zr 0.0000 0.0000 0.0000 (multiplicity 1)
2 Ti 0.0000 0.5000 0.5000 (multiplicity 2)
3 Ni 0.5000 0.5000 0.0000 (multiplicity 1)
4 N 0.0000 0.0000 0.5000 (multiplicity 1)

- E (eV per atom) = -8.50
- V (Å³ per atom) = 14.617
- energy relative to the elements, uncorrected (eV per atom) = -0.812